(1)
ZnGeSeO after structural relaxation. Source: OQMD, functional GGA-PBE.

Crystal system ... tetragonal

abc: 3.7570 3.7570 11.1278
angles: 90.00 90.00 90.00
Closest atoms and distances in Å follow each position.
Space group P4/nmm (No. 129, origin choice 2)
One atom of each set of equivalent atoms:
Zn (0.2500, 0.7500, 0.0000) x2  4 Se 2.49, 4 Zn 2.66
Ge (0.2500, 0.2500, 0.4056) x2  1 O 1.80
Se (0.2500, 0.2500, 0.8533) x2  4 Zn 2.49
O (0.2500, 0.2500, 0.5671) x2  1 Ge 1.80

(2)
Hf3Os2Cl2 after structural relaxation. Source: OQMD, functional GGA-PBE.

Total magnetic moment ... 0.0 μB/f.u.
Crystal system ... orthorhombic

abc: 3.1943 27.3538 3.2727
angles: 90.00 90.00 90.00
Closest atoms and distances in Å follow each position.
Space group Cmmm (No. 65)
One atom of each set of equivalent atoms:
Hf (0.0000, 0.0000, 0.0000) x2  8 Cl 2.73
Hf (0.0000, 0.1621, 0.0000) x4  4 Os 2.64
Os (0.0000, 0.2899, 0.5000) x4  4 Hf 2.64, 2 Os 2.71
Cl (0.0000, 0.4457, 0.5000) x4  4 Hf 2.73, 1 Cl 2.97

(3)
MgScAlNi after structural relaxation. Source: OQMD, functional GGA-PBE.

Total magnetic moment ... 0.0 μB/f.u.
Crystal system ... cubic

abc: 6.3573 6.3573 6.3573
angles: 90.00 90.00 90.00
Closest atoms and distances in Å follow each position.
Space group F-43m (No. 216)
One atom of each set of equivalent atoms:
Mg (0.0000, 0.0000, 0.0000) x4  4 Sc 2.75, 4 Al 2.75
Sc (0.2500, 0.2500, 0.7500) x4  4 Ni 2.75, 4 Mg 2.75
Al (0.2500, 0.2500, 0.2500) x4  4 Mg 2.75, 4 Ni 2.75
Ni (0.0000, 0.0000, 0.5000) x4  4 Al 2.75, 4 Sc 2.75

(4)
Ba2MgTcS6 after structural relaxation. Source: OQMD, functional GGA-PBE.

Total magnetic moment ... 1.2 μB/f.u.
Crystal system ... cubic

abc: 9.7376 9.7376 9.7376
angles: 90.00 90.00 90.00
Closest atoms and distances in Å follow each position.
Space group Fm-3m (No. 225)
One atom of each set of equivalent atoms:
Ba (0.2500, 0.2500, 0.2500) x8  12 S 3.44
Mg (0.0000, 0.0000, 0.0000) x4  6 S 2.49
Tc (0.0000, 0.0000, 0.5000) x4  6 S 2.38
S (0.0000, 0.0000, 0.2558) x24  1 Tc 2.38, 1 Mg 2.49

(5)
CsRbCdGe after structural relaxation. Source: OQMD, functional GGA-PBE.

Crystal system ... orthorhombic

abc: 6.8032 11.4517 8.4505
angles: 90.00 90.00 90.00
Closest atoms and distances in Å follow each position.
Space group Amm2 (No. 38)
One atom of each set of equivalent atoms:
Cs (0.0000, 0.1699, 0.0000) x4  4 Ge 3.87-4.05, 1 Cs 3.89, 4 Cd 4.00-4.31, 4 Rb 4.18-4.26
Rb (0.5000, 0.1703, 0.2885) x4  4 Ge 3.85-4.03, 1 Rb 3.90, 2 Cd 3.94, 4 Cs 4.18-4.26
Cd (0.2498, 0.0000, 0.6394) x4  2 Ge 2.64-2.65
Ge (0.0000, 0.0000, 0.4003) x2  2 Cd 2.64
Ge (0.5000, 0.0000, 0.8795) x2  2 Cd 2.65

(6)
Sm2GdSe3 after structural relaxation. Source: OQMD, functional GGA-PBE.

Total magnetic moment ... 0.0 μB/f.u.
Crystal system ... trigonal

abc: 4.1417 4.1417 10.1796
angles: 90.00 90.00 120.00
Closest atoms and distances in Å follow each position.
Space group P-3m1 (No. 164)
One atom of each set of equivalent atoms:
Sm (0.3333, 0.6667, 0.1677) x2  6 Se 2.94-2.95
Gd (0.0000, 0.0000, 0.5000) x1  6 Se 2.91
Se (0.0000, 0.0000, 0.0000) x1  6 Sm 2.94
Se (0.3333, 0.6667, 0.6625) x2  3 Gd 2.91, 3 Sm 2.95

(7)
Gd6Re3Sb after structural relaxation. Source: OQMD, functional GGA-PBE.

Total magnetic moment ... 3.3 μB/f.u.
Crystal system ... tetragonal

abc: 8.1395 8.1395 10.6513
angles: 90.00 90.00 90.00
Closest atoms and distances in Å follow each position.
Space group I4/mmm (No. 139)
One atom of each set of equivalent atoms:
Gd (0.0000, 0.0000, 0.2282) x4  1 Re 2.43
Gd (0.0000, 0.3386, 0.5000) x8  1 Gd 2.63, 1 Sb 2.76
Re (0.0000, 0.0000, 0.0000) x2  2 Gd 2.43
Re (0.0000, 0.5000, 0.2500) x4  4 Gd 2.97
Sb (0.0000, 0.0000, 0.5000) x2  6 Gd 2.76-2.90

(8)
ScFeGe after structural relaxation. Source: OQMD, functional GGA-PBE.

Total magnetic moment ... 1.8 μB/f.u.
Crystal system ... hexagonal

abc: 6.5102 6.5102 3.8850
angles: 90.00 90.00 120.00
Closest atoms and distances in Å follow each position.
Space group P-62m (No. 189)
One atom of each set of equivalent atoms:
Sc (0.0000, 0.5815, 0.0000) x3  5 Ge 2.72-2.75, 2 Fe 3.01
Fe (0.0000, 0.2293, 0.5000) x3  4 Ge 2.45-2.58, 2 Fe 2.59
Ge (0.0000, 0.0000, 0.0000) x1  6 Fe 2.45, 3 Sc 2.72
Ge (0.3333, 0.6667, 0.5000) x2  3 Fe 2.58, 6 Sc 2.75

(9)
LiFeNiGe after structural relaxation. Source: OQMD, functional GGA-PBE.

Total magnetic moment ... 2.4 μB/f.u.
Crystal system ... cubic

abc: 5.6699 5.6699 5.6699
angles: 90.00 90.00 90.00
Closest atoms and distances in Å follow each position.
Space group F-43m (No. 216)
One atom of each set of equivalent atoms:
Li (0.0000, 0.0000, 0.0000) x4  4 Ge 2.46, 4 Ni 2.46
Fe (0.0000, 0.0000, 0.5000) x4  4 Ge 2.46, 4 Ni 2.46
Ni (0.2500, 0.2500, 0.2500) x4  4 Fe 2.46, 4 Li 2.46
Ge (0.2500, 0.2500, 0.7500) x4  4 Fe 2.46, 4 Li 2.46

(10)
FeCuSiHg after structural relaxation. Source: OQMD, functional GGA-PBE.

Total magnetic moment ... 2.0 μB/f.u.
Crystal system ... cubic

abc: 6.1415 6.1415 6.1415
angles: 90.00 90.00 90.00
Closest atoms and distances in Å follow each position.
Space group F-43m (No. 216)
One atom of each set of equivalent atoms:
Fe (0.0000, 0.0000, 0.0000) x4  4 Hg 2.66, 4 Si 2.66
Cu (0.0000, 0.0000, 0.5000) x4  4 Hg 2.66, 4 Si 2.66
Si (0.2500, 0.2500, 0.2500) x4  4 Fe 2.66, 4 Cu 2.66
Hg (0.2500, 0.2500, 0.7500) x4  4 Fe 2.66, 4 Cu 2.66

Number 1: electronic total energy -33.501 eV for the cell shown. Number 2: electronic total energy -114.538 eV for the cell shown. Number 3: electronic total energy -74.211 eV for the cell shown. Number 4: electronic total energy -204.542 eV for the cell shown. Number 5: electronic total energy -31.366 eV for the cell shown. Number 6: electronic total energy -35.405 eV for the cell shown. Number 7: electronic total energy -106.315 eV for the cell shown. Number 8: electronic total energy -62.786 eV for the cell shown. Number 9: electronic total energy -83.558 eV for the cell shown. Number 10: electronic total energy -65.170 eV for the cell shown.